No. 1
DFT (PBE) results for crystalline BIrW2 at its relaxed geometry.

Output
Calculated volume (Å³ per cell): 143.0
SG: I-42d (122)
DOS(E_F) (states/eV/cell): 5.77
Crystal system: tetragonal

Unit cell a=5.2049 b=5.2049 c=6.4347 alpha=66.14 beta=66.14 gamma=90.00
With the nearest neighbours (Å) after each atom.
Fractional coordinates of all 8 atoms:
Ir (0.0000, 0.0000, 0.0000)  4 W 2.47
W (0.8750, 0.8117, 0.7500)  2 B 2.09
W (0.1883, 0.6250, 0.2500)  2 B 2.09
B (0.5000, 0.5000, 0.0000)  4 W 2.09
W (0.5617, 0.1250, 0.2500)  2 B 2.09
Ir (0.7500, 0.2500, 0.5000)  4 W 2.47
B (0.2500, 0.7500, 0.5000)  4 W 2.09
W (0.3750, 0.4383, 0.7500)  2 B 2.09

No. 2
DFT (PBE) results for crystalline PmDy2Tm3 at its relaxed geometry.

Output
Calculated volume (Å³ per cell): 373.8
Excess energy over the best structure of this formula in the dataset (meV per atom): 17
SG: C2/c (15)
DOS(E_F) (states/eV/cell): 17.16
Crystal system: monoclinic

Unit cell a=6.1082 b=7.0709 c=9.3495 alpha=112.22 beta=89.80 gamma=90.00
With the nearest neighbours (Å) after each atom.
Fractional coordinates of all 12 atoms:
Pm (0.2500, 0.8746, 0.0000)  8 Tm 3.53-3.55, 2 Pm 3.53, 2 Dy 3.54
Tm (0.4160, 0.9576, 0.6645)  4 Tm 3.50-3.55, 6 Dy 3.51-3.54, 2 Pm 3.55
Tm (0.5840, 0.0424, 0.3355)  4 Tm 3.50-3.55, 6 Dy 3.51-3.54, 2 Pm 3.55
Dy (0.5823, 0.5424, 0.3344)  8 Tm 3.51-3.54, 3 Dy 3.51-3.53, 1 Pm 3.54
Pm (0.7500, 0.1254, 0.0000)  8 Tm 3.53-3.55, 2 Pm 3.53, 2 Dy 3.54
Tm (0.0840, 0.2930, 0.3355)  4 Tm 3.50-3.55, 6 Dy 3.51-3.54, 2 Pm 3.55
Tm (0.9160, 0.7070, 0.6645)  4 Tm 3.50-3.55, 6 Dy 3.51-3.54, 2 Pm 3.55
Tm (0.2500, 0.3759, 0.0000)  4 Tm 3.52-3.55, 4 Pm 3.53-3.54, 4 Dy 3.54
Dy (0.9177, 0.2080, 0.6656)  8 Tm 3.51-3.54, 3 Dy 3.51-3.53, 1 Pm 3.54
Tm (0.7500, 0.6241, 0.0000)  4 Tm 3.52-3.55, 4 Pm 3.53-3.54, 4 Dy 3.54
Dy (0.4177, 0.4576, 0.6656)  8 Tm 3.51-3.54, 3 Dy 3.51-3.53, 1 Pm 3.54
Dy (0.0823, 0.7920, 0.3344)  8 Tm 3.51-3.54, 3 Dy 3.51-3.53, 1 Pm 3.54

no.,final energy (eV/cell)
1,-75.44
2,-54.46